[1]
ScMo2Ir | PBE | optimized geometry

POSCAR file:
```
ScMo2Ir
1.0
2.7973 0.0000 0.0000
0.0000 4.5118 0.0000
0.0000 0.0000 5.2442
Sc Mo Ir
1 2 1
Cartesian
0.0000 0.0000 0.0000
1.3987 2.2559 1.3097
1.3987 2.2559 3.9345
0.0000 0.0000 2.6221
```

Summary:
As for the space-group type: Pmmm, No. 47. Its formation energy is 0.04 eV per formula unit. The value obtained for the calculated volume is 66.2 Å³/cell. The density of states at the Fermi level is 2.59 states/eV/f.u. The value obtained for the electronic total energy is -9.20 eV per atom.

[2]
Y3Er2Tl3 | PBE | optimized geometry

POSCAR file:
```
Y3Er2Tl3
1.0
-1.8845 2.6784 11.2545
1.8845 -2.6784 11.2545
1.8845 2.6784 -11.2545
Y Er Tl
3 2 3
Cartesian
0.0000 0.0000 0.0000
1.8845 0.0000 8.4219
0.0000 2.6784 2.8326
0.0000 0.0000 5.3025
0.0000 0.0000 17.2065
1.8845 0.0000 2.7264
0.0000 0.0000 11.2545
0.0000 2.6784 8.5281
```

Summary:
As for the space-group type: Immm, No. 71. Its formation energy is -2.33 eV per formula unit. The value obtained for the calculated volume is 227.2 Å³/cell. The density of states at the Fermi level is 7.20 states/eV/f.u. The value obtained for the electronic total energy is -4.74 eV per atom.

[3]
Al2V4H | PBE | optimized geometry

POSCAR file:
```
Al2V4H
1.0
-1.8272 1.8272 6.7711
1.8272 -1.8272 6.7711
1.8272 1.8272 -6.7711
Al V H
2 4 1
Cartesian
0.0000 0.0000 1.9498
0.0000 0.0000 11.5923
1.8272 0.0000 0.0000
0.0000 0.0000 4.5521
0.0000 1.8272 0.0000
0.0000 0.0000 8.9900
0.0000 0.0000 6.7711
```

Summary:
As for the space-group type: I4/mmm, No. 139. The value obtained for the calculated volume is 90.4 Å³/cell. The density of states at the Fermi level is 4.25 states/eV/f.u. The value obtained for the electronic total energy is -6.81 eV per atom.

[4]
NdHRh | PBE | optimized geometry

POSCAR file:
```
NdHRh
1.0
1.9500 -6.4192 0.0000
1.9500 6.4192 0.0000
0.0000 0.0000 4.1374
Nd H Rh
2 2 2
Cartesian
1.9500 4.8007 2.0687
1.9500 -4.8007 0.0000
1.9500 2.5328 2.7787
1.9500 -2.5328 0.7100
1.9500 1.0350 2.0153
1.9500 -1.0350 4.0840
```

Summary:
As for the space-group type: Cmc2_1, No. 36. The value obtained for the calculated volume is 103.6 Å³/cell. The density of states at the Fermi level is 1.15 states/eV/f.u. The value obtained for the electronic total energy is -5.75 eV per atom.

[5]
IrPdI2N | PBE | optimized geometry

POSCAR file:
```
IrPdI2N
1.0
5.5954 0.0000 0.0000
0.0000 5.5954 0.0000
0.0000 0.0000 3.6809
Ir Pd I N
1 1 2 1
Cartesian
0.0000 0.0000 0.0000
2.7977 2.7977 1.8404
0.0000 2.7977 0.0000
2.7977 0.0000 0.0000
0.0000 0.0000 1.8404
```

Summary:
As for the space-group type: P4/mmm, No. 123. Its formation energy from raw total energies is 2.90 eV per formula unit. The value obtained for the calculated volume is 115.2 Å³/cell. The density of states at the Fermi level is 5.14 states/eV/f.u. The value obtained for the electronic total energy is -4.52 eV per atom.

[6]
PrYHo6 | PBE | optimized geometry

POSCAR file:
```
PrYHo6
1.0
4.8186 2.7820 3.2632
-4.8186 2.7820 3.2632
0.0000 -5.5641 3.2632
Pr Y Ho
1 1 6
Cartesian
0.0000 0.0000 0.0000
0.0000 0.0000 4.8948
-1.9675 -2.7760 4.0642
-3.3879 0.3159 5.7254
-1.4204 3.0919 4.0642
1.4204 -3.0919 5.7254
3.3879 -0.3159 4.0642
1.9675 2.7761 5.7254
```

Summary:
As for the space-group type: R-3, No. 148. Its formation energy is 1.19 eV per formula unit. The value obtained for the calculated volume is 262.4 Å³/cell. The density of states at the Fermi level is 12.75 states/eV/f.u. The value obtained for the electronic total energy is -4.69 eV per atom.

[7]
BaLiCoSe2 | PBE | optimized geometry

POSCAR file:
```
BaLiCoSe2
1.0
4.9300 0.0000 0.0000
0.0000 4.9300 0.0000
0.0000 0.0000 4.9596
Ba Li Co Se
1 1 1 2
Cartesian
0.0000 0.0000 0.0000
0.0000 0.0000 2.4798
2.4650 2.4650 0.0000
0.0000 2.4650 2.4798
2.4650 0.0000 2.4798
```

Summary:
As for the space-group type: P4/mmm, No. 123. Its formation energy from raw total energies is 0.37 eV per formula unit. The value obtained for the calculated volume is 120.5 Å³/cell. The density of states at the Fermi level is 4.90 states/eV/f.u. The value obtained for the electronic total energy is -3.51 eV per atom.

[8]
Y2Si3Ni5 | PBE | optimized geometry

POSCAR file:
```
Y2Si3Ni5
1.0
-4.7510 5.6405 2.7875
4.7510 -5.6405 2.7875
4.7510 5.6405 -2.7875
Y Si Ni
4 6 10
Cartesian
2.3394 1.4324 0.0000
2.3394 -1.4324 2.7875
2.4115 7.0729 0.0000
2.4115 4.2081 2.7875
6.0244 1.3652 0.0000
0.0000 0.0000 1.3937
1.2734 4.2753 0.0000
3.4776 1.3652 2.7875
0.0000 0.0000 4.1812
-1.2734 4.2753 2.7875
4.7510 -2.6593 1.3937
8.3049 1.3742 0.0000
4.7510 0.0000 1.3937
3.5539 4.2663 0.0000
4.7510 2.6593 1.3937
0.0000 2.9812 1.3937
1.1971 1.3742 2.7875
0.0000 5.6405 1.3937
-3.5539 4.2663 2.7875
0.0000 8.2998 1.3937
```

Summary:
As for the space-group type: Ibam, No. 72. Its formation energy from raw total energies is -7.13 eV per formula unit. The value obtained for the calculated volume is 298.8 Å³/cell. The density of states at the Fermi level is 7.07 states/eV/f.u. The value obtained for the electronic total energy is -6.52 eV per atom.

[9]
Ce5MgIr6 | PBE | optimized geometry

POSCAR file:
```
Ce5MgIr6
1.0
2.6696 -6.8091 0.0000
2.6696 6.8091 0.0000
-1.4532 0.0000 6.8939
Ce Mg Ir
5 1 6
Cartesian
0.0000 0.0000 0.0000
2.6696 2.3856 0.0000
1.9430 2.0069 3.4470
1.9430 -2.0069 3.4470
2.6696 -2.3856 0.0000
-0.7266 0.0000 3.4470
2.0698 4.4589 1.9174
1.8161 4.4589 4.9765
1.1636 0.0000 5.3898
2.7224 0.0000 1.5041
2.0698 -4.4589 1.9174
1.8161 -4.4589 4.9765
```

Summary:
As for the space-group type: C2/m, No. 12. Its formation energy is -7.65 eV per formula unit. The value obtained for the calculated volume is 250.6 Å³/cell. The density of states at the Fermi level is 11.11 states/eV/f.u. The value obtained for the electronic total energy is -7.67 eV per atom.

[10]
Nd2InN | PBE | optimized geometry

POSCAR file:
```
Nd2InN
1.0
-2.5567 5.3137 3.7477
2.5567 -5.3137 3.7477
2.5567 5.3137 -3.7477
Nd In N
4 2 2
Cartesian
1.2784 -2.2498 2.2732
1.2784 1.1034 0.0000
1.2784 7.5635 -1.4745
1.2784 4.2103 3.7477
1.2784 4.4606 0.2525
1.2784 0.8531 4.0002
3.8351 1.2237 0.1101
-1.2784 4.0900 3.8578
```

Summary:
As for the space-group type: Ima2, No. 46. Its formation energy from raw total energies is -3.24 eV per formula unit. The value obtained for the calculated volume is 203.7 Å³/cell. The density of states at the Fermi level is 1.33 states/eV/f.u. The value obtained for the electronic total energy is -5.96 eV per atom.

[11]
BeAgTe4 | PBE | optimized geometry

POSCAR file:
```
BeAgTe4
1.0
0.0000 4.4839 4.4839
4.4839 0.0000 4.4839
4.4839 4.4839 0.0000
Be Ag Te
1 1 4
Cartesian
0.0000 0.0000 0.0000
2.2420 2.2420 2.2420
5.6124 3.3554 3.3554
3.3554 5.6124 3.3554
3.3554 3.3554 5.6124
5.6124 5.6124 5.6124
```

Summary:
As for the space-group type: F-43m, No. 216. Its formation energy from raw total energies is 5.24 eV per formula unit. The value obtained for the calculated volume is 180.3 Å³/cell. The density of states at the Fermi level is 5.47 states/eV/f.u. The value obtained for the electronic total energy is -2.32 eV per atom.

[12]
U2Al2ReSi4 | PBE | optimized geometry

POSCAR file:
```
U2Al2ReSi4
1.0
-3.0047 3.0047 4.1962
3.0047 -3.0047 4.1962
3.0047 3.0047 -4.1962
U Al Re Si
2 2 1 4
Cartesian
3.0047 0.0000 2.0981
0.0000 3.0047 2.0981
0.0000 0.0000 1.7647
0.0000 0.0000 6.6278
0.0000 0.0000 4.1962
1.3094 1.3094 0.0000
1.6953 -1.6953 4.1962
-1.6953 1.6953 4.1962
1.6953 1.6953 4.1962
```

Summary:
As for the space-group type: I4/mmm, No. 139. Its formation energy from raw total energies is -2.43 eV per formula unit. The value obtained for the calculated volume is 151.5 Å³/cell. The density of states at the Fermi level is 9.81 states/eV/f.u. The value obtained for the electronic total energy is -7.40 eV per atom.